[1]
FeHgS2: relaxed, PBE-GGA.

Cell and atoms, written as POSCAR:
```
FeHgS2
1.0
2.298 0.000 7.221
-1.149 1.990 7.221
-1.149 -1.990 7.221
S Hg Fe
2 1 1
Direct
0.901 0.901 0.901
0.099 0.099 0.099
0.500 0.500 0.500
0.000 0.000 0.000
```

Output
ΔE_f (raw) (meV/atom): 309

[2]
Li4Hf3AuSe8: relaxed, PBE-GGA.

Cell and atoms, written as POSCAR:
```
Li4Hf3AuSe8
1.0
-3.652 6.738 -0.890
-0.735 -1.412 -7.674
-2.636 -5.175 5.090
Li Hf Au Se
4 3 1 8
Direct
0.500 0.000 0.000
0.500 0.000 0.500
0.000 0.000 0.000
0.000 0.000 0.500
0.500 0.500 0.000
0.500 0.500 0.500
0.000 0.500 0.500
0.000 0.500 0.000
0.255 0.746 0.990
0.256 0.746 0.512
0.252 0.254 0.503
0.735 0.746 0.990
0.265 0.254 0.010
0.748 0.746 0.497
0.744 0.254 0.488
0.745 0.254 0.010
```

Output
ΔE_f (raw) (meV/atom): -1098

[3]
MoC: relaxed, PBE-GGA.

Cell and atoms, written as POSCAR:
```
MoC
1.0
5.477 0.002 0.000
3.838 3.908 0.000
-4.658 -1.955 2.118
Mo C
2 2
Direct
0.875 0.125 0.250
0.125 0.875 0.750
0.375 0.625 0.250
0.625 0.375 0.750
```

Output
ΔH_f (0 K) (eV/atom): 0.530

[4]
RbTl6F8: relaxed, PBE-GGA.

Cell and atoms, written as POSCAR:
```
RbTl6F8
1.0
-7.089 -1.001 -0.161
1.411 0.729 -6.983
2.275 -6.694 1.137
Rb Tl F
1 6 8
Direct
0.000 0.000 0.000
0.703 0.435 0.889
0.435 0.889 0.703
0.889 0.703 0.435
0.297 0.565 0.111
0.565 0.111 0.297
0.111 0.297 0.565
0.676 0.676 0.676
0.324 0.324 0.324
0.655 0.766 0.133
0.766 0.133 0.655
0.133 0.655 0.766
0.345 0.234 0.867
0.234 0.867 0.345
0.867 0.345 0.234
```

Output
ΔE_f (raw) (meV/atom): -1798

[5]
AlReAg2: relaxed, PBE-GGA.

Cell and atoms, written as POSCAR:
```
AlReAg2
1.0
-0.850 2.341 1.108
-1.838 -1.973 0.401
4.214 -2.287 8.062
Re Al Ag
1 1 2
Direct
0.500 0.500 0.750
0.500 0.500 0.250
0.000 0.000 0.009
0.000 0.000 0.491
```

Output
ΔH_f (0 K) (eV/atom): 0.395

[6]
AcTaS4: relaxed, PBE-GGA.

Cell and atoms, written as POSCAR:
```
AcTaS4
1.0
7.495 -0.601 2.294
-4.256 6.199 2.294
-0.348 -0.601 7.831
Ac Ta S
2 2 8
Direct
0.875 0.625 0.250
0.125 0.375 0.750
0.625 0.875 0.750
0.375 0.125 0.250
0.260 0.695 0.935
0.630 0.695 0.565
0.195 0.130 0.065
0.740 0.305 0.065
0.195 0.760 0.435
0.805 0.870 0.935
0.370 0.305 0.435
0.805 0.240 0.565
```

Output
ΔE_f (raw) (meV/atom): -1448

[7]
In2TcAs: relaxed, PBE-GGA.

Cell and atoms, written as POSCAR:
```
In2TcAs
1.0
4.795 0.000 0.000
2.398 4.153 0.000
2.398 1.384 3.915
As Tc In
1 1 2
Direct
0.500 0.500 0.500
0.750 0.750 0.750
0.000 0.000 0.000
0.250 0.250 0.250
```

Output
ΔH_f (0 K) (eV/atom): 0.551

[8]
SrCa3Zn: relaxed, PBE-GGA.

Cell and atoms, written as POSCAR:
```
SrCa3Zn
1.0
-0.307 2.262 3.518
0.241 -4.597 5.477
13.123 1.222 2.858
Sr Ca Zn
2 6 2
Direct
0.105 0.497 0.293
0.229 0.543 0.999
0.452 0.950 0.145
0.757 0.731 0.756
0.103 0.175 0.620
0.987 0.125 0.901
0.789 0.037 0.386
0.422 0.622 0.534
0.786 0.278 0.149
0.431 0.379 0.758
```

Output
ΔH_f (0 K) (eV/atom): -0.078

[9]
CaTcAs2Ir: relaxed, PBE-GGA.

Cell and atoms, written as POSCAR:
```
CaTcAs2Ir
1.0
-0.815 1.314 4.768
-4.490 0.315 -0.855
-0.573 -4.825 1.231
As Ir Tc Ca
2 1 1 1
Direct
0.000 0.000 0.500
0.500 0.000 0.000
0.500 0.500 0.500
0.000 0.500 0.000
0.000 0.000 0.000
```

Output
ΔH_f (0 K) (eV/atom): 2.087

[10]
Ce3InO2: relaxed, PBE-GGA.

Cell and atoms, written as POSCAR:
```
Ce3InO2
1.0
-0.623 -4.085 3.893
4.339 -4.357 -3.878
4.619 3.488 4.399
Ce In O
6 2 4
Direct
0.250 0.104 0.896
0.250 0.589 0.808
0.750 0.808 0.589
0.250 0.192 0.411
0.750 0.411 0.192
0.750 0.896 0.104
0.750 0.311 0.689
0.250 0.689 0.311
0.000 0.840 0.840
0.500 0.840 0.840
0.000 0.160 0.160
0.500 0.160 0.160
```

Output
ΔE_f (raw) (meV/atom): -1929

[11]
CdSb2TeAs: relaxed, PBE-GGA.

Cell and atoms, written as POSCAR:
```
CdSb2TeAs
1.0
-2.134 3.527 3.457
1.153 -3.306 4.084
4.965 2.441 0.575
Sb As Te Cd
2 1 1 1
Direct
0.000 0.500 0.000
0.500 0.000 0.000
0.000 0.000 0.000
0.000 0.000 0.500
0.500 0.500 0.500
```

Output
ΔE_f (raw) (meV/atom): 561

[12]
Yb3Zn11: relaxed, PBE-GGA.

Cell and atoms, written as POSCAR:
```
Yb3Zn11
1.0
-2.196 4.456 6.531
2.196 -4.456 6.531
2.196 4.456 -6.531
Yb Zn
3 11
Direct
0.000 0.000 0.000
0.294 0.294 0.000
0.706 0.706 0.000
0.500 0.000 0.500
0.683 0.500 0.183
0.317 0.500 0.817
0.695 0.338 0.357
0.305 0.662 0.643
0.981 0.338 0.643
0.019 0.662 0.357
0.422 0.135 0.287
0.578 0.865 0.713
0.848 0.135 0.713
0.152 0.865 0.287
```

Output
ΔH_f (0 K) (eV/atom): -0.286

[13]
Ho3GeTe2: relaxed, PBE-GGA.

Cell and atoms, written as POSCAR:
```
Ho3GeTe2
1.0
7.360 0.191 0.328
-1.438 7.274 -0.222
-1.438 -3.799 6.207
Ho Ge Te
6 2 4
Direct
0.006 0.211 0.358
0.506 0.358 0.211
0.000 0.500 0.000
0.994 0.789 0.642
0.500 0.000 0.500
0.494 0.642 0.789
0.250 0.590 0.410
0.750 0.410 0.590
0.250 0.919 0.081
0.250 0.241 0.759
0.750 0.081 0.919
0.750 0.759 0.241
```

Output
ΔE_f (raw) (meV/atom): -1243

[14]
Ta6Mo: relaxed, PBE-GGA.

Cell and atoms, written as POSCAR:
```
Ta6Mo
1.0
11.853 0.002 0.000
10.944 4.551 0.000
-11.399 -2.277 2.319
Mo Ta
1 6
Direct
0.000 0.000 0.000
0.432 0.432 0.000
0.858 0.858 0.000
0.286 0.286 0.000
0.714 0.714 0.000
0.142 0.142 0.000
0.568 0.568 0.000
```

Output
ΔH_f (0 K) (eV/atom): -0.054

[15]
YCd4Pd: relaxed, PBE-GGA.

Cell and atoms, written as POSCAR:
```
YCd4Pd
1.0
5.452 0.134 -0.983
-0.636 7.000 -2.569
-0.417 -1.239 7.627
Y Cd Pd
2 8 2
Direct
0.137 0.217 0.434
0.863 0.783 0.566
0.731 0.345 0.690
0.571 0.313 0.247
0.000 0.205 0.000
0.429 0.066 0.753
0.269 0.655 0.310
0.429 0.687 0.753
0.000 0.795 0.000
0.571 0.934 0.247
0.753 0.567 0.134
0.247 0.433 0.866
```

Output
ΔH_f (0 K) (eV/atom): -0.264

[16]
ZnHg2Rh: relaxed, PBE-GGA.

Cell and atoms, written as POSCAR:
```
ZnHg2Rh
1.0
5.362 -0.007 -0.005
-2.365 4.812 -0.005
0.581 0.932 2.829
Hg Rh Zn
2 1 1
Direct
0.000 0.000 0.000
0.500 0.500 0.000
0.500 0.000 0.500
0.000 0.500 0.500
```

Output
ΔH_f (0 K) (eV/atom): 0.166

[17]
FeCuAg2: relaxed, PBE-GGA.

Cell and atoms, written as POSCAR:
```
FeCuAg2
1.0
2.704 -0.079 0.000
-0.957 2.530 0.000
0.000 0.000 9.037
Ag Cu Fe
2 1 1
Direct
0.000 0.000 0.003
0.000 0.000 0.497
0.500 0.500 0.250
0.500 0.500 0.750
```

Output
ΔH_f (0 K) (eV/atom): 0.316

[18]
ZnO2: relaxed, PBE-GGA.

Cell and atoms, written as POSCAR:
```
ZnO2
1.0
-2.815 -0.824 1.293
0.964 -3.794 -0.320
4.106 0.275 9.114
Zn O
4 8
Direct
0.250 0.920 0.872
0.750 0.420 0.628
0.750 0.580 0.128
0.250 0.080 0.372
0.750 0.256 0.832
0.250 0.756 0.668
0.250 0.244 0.168
0.750 0.744 0.332
0.250 0.926 0.085
0.750 0.426 0.415
0.750 0.574 0.915
0.250 0.074 0.585
```

Output
ΔE_f (raw) (meV/atom): -697

[19]
Dy3B3Os2: relaxed, PBE-GGA.

Cell and atoms, written as POSCAR:
```
Dy3B3Os2
1.0
-2.777 1.456 1.969
-2.139 -4.243 -3.363
2.181 -8.545 9.396
Dy B Os
6 6 4
Direct
0.932 0.864 0.386
0.068 0.136 0.886
0.932 0.864 0.114
0.068 0.136 0.614
0.646 0.292 0.250
0.354 0.708 0.750
0.640 0.281 0.457
0.360 0.719 0.957
0.640 0.281 0.043
0.360 0.719 0.543
0.311 0.622 0.250
0.689 0.378 0.750
0.772 0.544 0.915
0.228 0.456 0.415
0.772 0.544 0.585
0.228 0.456 0.085
```

Output
ΔH_f (0 K) (eV/atom): -0.307

[20]
KCa2LaNi: relaxed, PBE-GGA.

Cell and atoms, written as POSCAR:
```
KCa2LaNi
1.0
5.924 0.000 0.000
0.000 5.924 0.000
0.000 0.000 5.330
Ni Ca K La
1 2 1 1
Direct
0.000 0.000 0.000
0.000 0.500 0.000
0.500 0.000 0.000
0.500 0.500 0.500
0.000 0.000 0.500
```

Output
ΔH_f (0 K) (eV/atom): 0.001

[21]
TbAgSeO: relaxed, PBE-GGA.

Cell and atoms, written as POSCAR:
```
TbAgSeO
1.0
-1.604 2.902 -2.290
-0.478 -0.589 -3.957
-10.662 -3.308 -0.270
Tb Ag Se O
2 2 2 2
Direct
0.624 0.624 0.127
0.376 0.376 0.873
0.808 0.808 0.575
0.192 0.192 0.425
0.101 0.101 0.697
0.899 0.899 0.303
0.693 0.693 0.922
0.307 0.307 0.078
```

Output
ΔE_f (raw) (meV/atom): -1887

[22]
KZrPO6: relaxed, PBE-GGA.

Cell and atoms, written as POSCAR:
```
KZrPO6
1.0
-0.556 -3.342 -4.760
2.560 -3.871 2.419
-5.209 0.329 0.378
K Zr P O
1 1 1 6
Direct
0.000 0.333 0.667
0.500 0.667 0.333
0.500 0.000 0.000
0.668 0.743 0.725
0.668 0.275 0.018
0.668 0.982 0.257
0.332 0.275 0.257
0.332 0.743 0.018
0.332 0.982 0.725
```

Output
ΔE_f (raw) (meV/atom): -1930

[23]
Tl5Ge2I12: relaxed, PBE-GGA.

Cell and atoms, written as POSCAR:
```
Tl5Ge2I12
1.0
-3.466 2.047 7.965
-5.229 -6.739 -5.543
6.954 -5.984 4.565
Tl Ge I
5 2 12
Direct
0.290 0.580 0.667
0.312 0.625 0.200
0.000 0.000 0.500
0.688 0.375 0.800
0.710 0.420 0.333
0.736 0.000 0.000
0.264 0.000 0.000
0.009 0.017 0.200
0.092 0.675 0.952
0.583 0.675 0.952
0.108 0.748 0.451
0.640 0.748 0.451
0.494 0.988 0.796
0.506 0.012 0.204
0.892 0.252 0.549
0.360 0.252 0.549
0.908 0.325 0.048
0.417 0.325 0.048
0.991 0.983 0.800
```

Output
ΔE_f (raw) (meV/atom): -382

Number 1: total DFT energy (no corrections) -3.946 eV/atom. Number 2: total DFT energy (no corrections) -5.390 eV/atom. Number 3: total DFT energy (no corrections) -9.498 eV/atom. Number 4: total DFT energy (no corrections) -3.807 eV/atom. Number 5: total DFT energy (no corrections) -5.078 eV/atom. Number 6: total DFT energy (no corrections) -6.860 eV/atom. Number 7: total DFT energy (no corrections) -4.572 eV/atom. Number 8: total DFT energy (no corrections) -1.870 eV/atom. Number 9: total DFT energy (no corrections) -4.018 eV/atom. Number 10: total DFT energy (no corrections) -7.005 eV/atom. Number 11: total DFT energy (no corrections) -2.829 eV/atom. Number 12: total DFT energy (no corrections) -1.614 eV/atom. Number 13: total DFT energy (no corrections) -5.349 eV/atom. Number 14: total DFT energy (no corrections) -11.761 eV/atom. Number 15: total DFT energy (no corrections) -2.817 eV/atom. Number 16: total DFT energy (no corrections) -2.141 eV/atom. Number 17: total DFT energy (no corrections) -4.249 eV/atom. Number 18: total DFT energy (no corrections) -4.427 eV/atom. Number 19: total DFT energy (no corrections) -7.345 eV/atom. Number 20: total DFT energy (no corrections) -3.160 eV/atom. Number 21: total DFT energy (no corrections) -5.868 eV/atom. Number 22: total DFT energy (no corrections) -6.908 eV/atom. Number 23: total DFT energy (no corrections) -2.470 eV/atom.